The following is a PBE calculation of a geometry-optimized La2Te2S structure, from Alexandria.

The total magnetization comes out at 0.0 μB per formula unit. Its uncorrected formation energy is -1794.4 meV/atom. The calculation puts the uncorrected energy at -5.848 eV per atom. Its offset from the most stable computed form is 0 meV per atom.

It has space group Cmc2_1 (No. 36), with a = 4.560 Å, b = 17.840 Å, c = 8.249 Å, α = 90.00°, β = 90.00° and γ = 90.00°. The distinct sites, in fractional coordinates, are La at (0.000, 0.051, 0.000), La at (0.000, 0.323, 0.920), Te at (0.000, 0.303, 0.527), Te at (0.000, 0.450, 0.195) and S at (0.000, 0.096, 0.339).

The following is a PBE calculation of a geometry-optimized La2TeS2 structure, from Alexandria.

The total magnetization comes out at 0.0 μB per formula unit. Its uncorrected formation energy is -1798.2 meV/atom. The calculation puts the uncorrected energy at -6.048 eV per atom. Its offset from the most stable computed form is 186 meV per atom.

It has space group P4/mbm (No. 127), with a = 8.358 Å, b = 8.358 Å, c = 3.821 Å, α = 90.00°, β = 90.00° and γ = 90.00°. The distinct sites, in fractional coordinates, are La at (0.161, 0.339, 0.000), Te at (0.000, 0.000, 0.000) and S at (0.135, 0.635, 0.500).

The following is a PBE calculation of a geometry-optimized LaTeS structure, from Alexandria.

The total magnetization comes out at 0.0 μB per formula unit. Its uncorrected formation energy is -1641.2 meV/atom. The calculation puts the uncorrected energy at -5.707 eV per atom.

It has space group P4/nmm (No. 129, origin choice 2), with a = 4.333 Å, b = 4.333 Å, c = 8.720 Å, α = 90.00°, β = 90.00° and γ = 90.00°. The distinct sites, in fractional coordinates, are La at (0.250, 0.250, 0.194), Te at (0.250, 0.750, 0.500) and S at (0.250, 0.250, 0.866).

The following is a PBE calculation of a geometry-optimized La2TeS2 structure, from Alexandria.

The total magnetization comes out at 0.0 μB per formula unit. Its uncorrected formation energy is -1825.7 meV/atom. The calculation puts the uncorrected energy at -6.076 eV per atom. Its offset from the most stable computed form is 158 meV per atom.

It has space group I4/mmm (No. 139), with a = 4.614 Å, b = 4.614 Å, c = 14.383 Å, α = 90.00°, β = 90.00° and γ = 90.00°. The distinct sites, in fractional coordinates, are La at (0.000, 0.000, 0.142), Te at (0.000, 0.000, 0.500) and S at (0.000, 0.500, 0.250).

The following is a PBE calculation of a geometry-optimized La2Te2S structure, from Alexandria.

The total magnetization comes out at 0.0 μB per formula unit. Its uncorrected formation energy is -1003.3 meV/atom. The calculation puts the uncorrected energy at -5.056 eV per atom. Its offset from the most stable computed form is 791 meV per atom.

It has space group I4/mmm (No. 139), with a = 5.925 Å, b = 5.925 Å, c = 10.319 Å, α = 90.00°, β = 90.00° and γ = 90.00°. The distinct sites, in fractional coordinates, are La at (0.000, 0.500, 0.250), Te at (0.000, 0.000, 0.157) and S at (0.000, 0.000, 0.500).

The following is a PBE calculation of a geometry-optimized LaTe2S6 structure, from Alexandria.

The total magnetization comes out at 0.0 μB per formula unit. Its uncorrected formation energy is -516.3 meV/atom. The calculation puts the uncorrected energy at -4.514 eV per atom.

It has space group P-1 (No. 2), with a = 7.886 Å, b = 8.563 Å, c = 9.280 Å, α = 71.39°, β = 67.69° and γ = 87.47°. The distinct sites, in fractional coordinates, are La at (0.194, 0.390, 0.231), Te at (0.269, 0.924, 0.244), Te at (0.370, 0.758, 0.749), S at (0.061, 0.104, 0.172), S at (0.100, 0.663, 0.427), S at (0.115, 0.486, 0.903), S at (0.303, 0.061, 0.427), S at (0.435, 0.703, 0.993) and S at (0.459, 0.433, 0.368).

The following is a PBE calculation of a geometry-optimized La4TeS3 structure, from Alexandria.

The total magnetization comes out at 0.0 μB per formula unit. Its uncorrected formation energy is -2015.3 meV/atom. The calculation puts the uncorrected energy at -6.419 eV per atom.

It has space group P6_3/mmc (No. 194), with a = 4.2259 Å, b = 4.2259 Å, c = 28.4410 Å, α = 90.00°, β = 90.00° and γ = 120.00°. The distinct sites, in fractional coordinates, are La at (0.0000, 0.0000, 0.1730), La at (0.3333, 0.6667, 0.0599), Te at (0.3333, 0.6667, 0.2500), S at (0.0000, 0.0000, 0.0000) and S at (0.3333, 0.6667, 0.6167).

The following is a PBE calculation of a geometry-optimized La4Te2S structure, from Alexandria.

The total magnetization comes out at 0.0 μB per formula unit. Its uncorrected formation energy is -1210.6 meV/atom. The calculation puts the uncorrected energy at -5.513 eV per atom.

It has space group I4/mmm (No. 139), with a = 5.373 Å, b = 5.373 Å, c = 16.457 Å, α = 90.00°, β = 90.00° and γ = 90.00°. The distinct sites, in fractional coordinates, are La at (0.000, 0.000, 0.170), La at (0.000, 0.500, 0.000), Te at (0.000, 0.000, 0.366) and S at (0.000, 0.000, 0.000).